First-principles (PBE) data for a relaxed structure of YNi3W, as listed in the Alexandria database.

Output
symmetry: Pm-3m
volume: 18.579 Å³ per atom
mass density: 8.023 g/cm³
ΔH_f (0 K): 41.6 kcal/mol of atoms
M_tot: 2.6 μB per cell

a b c (Å): 4.529 4.529 4.529
angles (deg): 90.00 90.00 90.00
Fractional positions:
Ni (0.000, 0.000, 0.500)
Ni (0.500, 0.000, 0.000)
W (0.500, 0.500, 0.500)
Ni (0.000, 0.500, 0.000)
Y (0.000, 0.000, 0.000)


First-principles (PBE) data for a relaxed structure of YNi2W2, as listed in the Alexandria database.

Output
symmetry: I4/mmm
volume: 17.979 Å³ per atom
mass density: 10.603 g/cm³
ΔH_f (0 K): 8.0 kcal/mol of atoms
M_tot: 0.0 μB per cell

a b c (Å): 4.325 4.325 5.697
angles (deg): 67.69 67.69 90.00
Fractional positions:
W (0.368, 0.368, 0.264)
W (0.632, 0.632, 0.736)
Y (0.000, 0.000, 0.000)
Ni (0.250, 0.750, 0.500)
Ni (0.750, 0.250, 0.500)


First-principles (PBE) data for a relaxed structure of YNiW2, as listed in the Alexandria database.

Output
symmetry: Cmm2
volume: 17.174 Å³ per atom
mass density: 12.455 g/cm³
ΔH_f (0 K): 7.6 kcal/mol of atoms
M_tot: 0.0 μB per cell

a b c (Å): 2.860 2.860 8.646
angles (deg): 90.00 90.00 103.81
Fractional positions:
W (0.500, 0.500, 0.224)
Y (0.000, 0.000, 0.519)
W (0.000, 0.000, 0.981)
Ni (0.500, 0.500, 0.777)


First-principles (PBE) data for a relaxed structure of YNiW2, as listed in the Alexandria database.

Output
symmetry: R-3m
volume: 17.271 Å³ per atom
mass density: 12.386 g/cm³
ΔH_f (0 K): 15.2 kcal/mol of atoms
M_tot: 0.0 μB per cell

a b c (Å): 9.748 9.748 9.748
angles (deg): 17.00 17.00 17.00
Fractional positions:
W (0.488, 0.488, 0.488)
W (0.012, 0.012, 0.012)
Ni (0.750, 0.750, 0.750)
Y (0.250, 0.250, 0.250)


First-principles (PBE) data for a relaxed structure of YNi4W, as listed in the Alexandria database.

Output
symmetry: F-43m
volume: 13.952 Å³ per atom
mass density: 10.067 g/cm³
ΔH_f (0 K): 0.3 kcal/mol of atoms
M_tot: 1.8 μB per cell

a b c (Å): 4.910 4.910 4.910
angles (deg): 60.00 60.00 60.00
Fractional positions:
Y (0.000, 0.000, 0.000)
Ni (0.376, 0.871, 0.376)
W (0.750, 0.750, 0.750)
Ni (0.871, 0.376, 0.376)
Ni (0.376, 0.376, 0.376)
Ni (0.376, 0.376, 0.871)


First-principles (PBE) data for a relaxed structure of YNi3W, as listed in the Alexandria database.

Output
symmetry: Pm-3m
volume: 18.946 Å³ per atom
mass density: 7.867 g/cm³
ΔH_f (0 K): 13.0 kcal/mol of atoms
M_tot: 0.0 μB per cell

a b c (Å): 4.559 4.559 4.559
angles (deg): 90.00 90.00 90.00
Fractional positions:
Ni (0.500, 0.000, 0.000)
W (0.000, 0.000, 0.000)
Y (0.500, 0.500, 0.500)
Ni (0.000, 0.000, 0.500)
Ni (0.000, 0.500, 0.000)


First-principles (PBE) data for a relaxed structure of YNiW2, as listed in the Alexandria database.

Output
symmetry: F-43m
volume: 17.118 Å³ per atom
mass density: 12.496 g/cm³
ΔH_f (0 K): 7.7 kcal/mol of atoms
M_tot: 0.0 μB per cell

a b c (Å): 4.593 4.593 4.593
angles (deg): 120.03 120.03 89.94
Fractional positions:
W (0.250, 0.750, 0.500)
Ni (0.750, 0.250, 0.500)
Y (0.500, 0.500, 0.000)
W (0.000, 0.000, 0.000)


First-principles (PBE) data for a relaxed structure of ZnNiW2, as listed in the Alexandria database.

Output
symmetry: Pmm2
volume: 14.501 Å³ per atom
mass density: 14.079 g/cm³
ΔH_f (0 K): 4.8 kcal/mol of atoms
M_tot: 0.0 μB per cell

a b c (Å): 2.655 3.942 5.543
angles (deg): 90.00 90.00 90.00
Fractional positions:
Ni (0.500, 0.500, 0.734)
Zn (0.000, 0.000, 0.516)
W (0.500, 0.500, 0.255)
W (0.000, 0.000, 0.995)


First-principles (PBE) data for a relaxed structure of ZnNiW3, as listed in the Alexandria database.

Output
symmetry: Pm-3m
volume: 17.922 Å³ per atom
mass density: 12.520 g/cm³
ΔH_f (0 K): 35.9 kcal/mol of atoms
M_tot: 0.0 μB per cell

a b c (Å): 4.475 4.475 4.475
angles (deg): 90.00 90.00 90.00
Fractional positions:
Ni (0.000, 0.000, 0.000)
W (0.000, 0.000, 0.500)
W (0.000, 0.500, 0.000)
W (0.500, 0.000, 0.000)
Zn (0.500, 0.500, 0.500)


First-principles (PBE) data for a relaxed structure of Zn3NiW, as listed in the Alexandria database.

Output
symmetry: Pm-3m
volume: 22.774 Å³ per atom
mass density: 6.398 g/cm³
ΔH_f (0 K): 36.9 kcal/mol of atoms
M_tot: 0.0 μB per cell

a b c (Å): 4.847 4.847 4.847
angles (deg): 90.00 90.00 90.00
Fractional positions:
Zn (0.500, 0.000, 0.000)
W (0.000, 0.000, 0.000)
Zn (0.000, 0.000, 0.500)
Zn (0.000, 0.500, 0.000)
Ni (0.500, 0.500, 0.500)


First-principles (PBE) data for a relaxed structure of ZnNi2W, as listed in the Alexandria database.

Output
symmetry: I-42d
volume: 14.059 Å³ per atom
mass density: 10.826 g/cm³
ΔH_f (0 K): 13.5 kcal/mol of atoms
M_tot: 0.0 μB per cell

a b c (Å): 6.597 6.597 5.333
angles (deg): 51.79 51.79 90.00
Fractional positions:
Ni (0.875, 0.875, 0.750)
Zn (0.500, 0.500, 0.000)
Ni (0.625, 0.125, 0.250)
Zn (0.250, 0.750, 0.500)
Ni (0.375, 0.375, 0.750)
W (0.750, 0.250, 0.500)
W (0.000, 0.000, 0.000)
Ni (0.125, 0.625, 0.250)


First-principles (PBE) data for a relaxed structure of ZnNi9W2, as listed in the Alexandria database.

Output
symmetry: P4/mmm
volume: 11.843 Å³ per atom
mass density: 11.233 g/cm³
ΔH_f (0 K): -1.5 kcal/mol of atoms
M_tot: 0.0 μB per cell

a b c (Å): 3.622 3.622 10.833
angles (deg): 90.00 90.00 90.00
Fractional positions:
Ni (0.500, 0.000, 0.833)
Ni (0.000, 0.500, 0.833)
W (0.000, 0.000, 0.326)
Ni (0.500, 0.000, 0.167)
Ni (0.000, 0.500, 0.500)
Ni (0.500, 0.000, 0.500)
Ni (0.000, 0.500, 0.167)
Ni (0.500, 0.500, 0.665)
Zn (0.000, 0.000, 0.000)
W (0.000, 0.000, 0.674)
Ni (0.500, 0.500, 0.000)
Ni (0.500, 0.500, 0.335)


Among the records above, which one has the lowest volume?
ZnNi9W2